No. 1
DFT (PBE) results for crystalline Tl6BrClO2 at its relaxed geometry.

Geometry as POSCAR:
```
Tl6BrClO2
1.0
7.260 0.388 0.403
2.824 9.431 0.588
2.824 0.238 9.447
Tl Br Cl O
12 2 2 4
direct
0.177 0.943 0.820
0.323 0.180 0.057
0.823 0.057 0.180
0.677 0.820 0.943
0.366 0.926 0.421
0.134 0.579 0.074
0.634 0.074 0.579
0.866 0.421 0.926
0.029 0.666 0.577
0.471 0.423 0.334
0.971 0.334 0.423
0.529 0.577 0.666
0.250 0.805 0.195
0.750 0.195 0.805
0.250 0.325 0.675
0.750 0.675 0.325
0.236 0.802 0.634
0.264 0.366 0.198
0.764 0.198 0.366
0.736 0.634 0.802
```

Calculated values
calculated total energy	-3.4181	eV per atom



No. 2
DFT (PBE) results for crystalline Pa2PtO6F3 at its relaxed geometry.

Geometry as POSCAR:
```
Pa2PtO6F3
1.0
6.301 0.038 0.536
-3.117 5.477 0.536
-0.734 -1.271 4.210
Pa Pt O F
2 1 6 3
direct
0.332 0.668 0.000
0.668 0.332 0.000
0.000 0.000 0.000
0.978 0.667 0.872
0.717 0.717 0.173
0.022 0.333 0.128
0.667 0.978 0.872
0.283 0.283 0.827
0.333 0.022 0.128
0.272 0.728 0.500
0.728 0.272 0.500
0.500 0.500 0.500
```

Calculated values
calculated total energy	-7.3870	eV per atom



No. 3
DFT (PBE) results for crystalline SbS2F at its relaxed geometry.

Geometry as POSCAR:
```
SbS2F
1.0
-3.395 -2.770 1.169
-4.128 0.596 -1.780
-1.628 -2.984 -3.001
Sb S F
1 2 1
direct
0.500 0.500 0.500
0.250 0.250 0.250
0.750 0.750 0.750
0.000 0.000 0.000
```

Calculated values
calculated total energy	-3.6556	eV per atom



No. 4
DFT (PBE) results for crystalline PbN4 at its relaxed geometry.

Geometry as POSCAR:
```
PbN4
1.0
4.658 0.000 0.000
0.000 4.658 0.000
0.000 0.000 4.658
Pb N
1 4
direct
0.500 0.500 0.500
0.000 0.000 0.000
0.500 0.000 0.500
0.000 0.500 0.500
0.500 0.500 0.000
```

Calculated values
calculated total energy	-3.9983	eV per atom



No. 5
DFT (PBE) results for crystalline Pm8P3Se4S at its relaxed geometry.

Geometry as POSCAR:
```
Pm8P3Se4S
1.0
8.255 0.000 0.000
0.000 8.374 0.078
-4.127 -4.123 5.840
Pm P Se S
8 3 4 1
direct
0.245 0.730 0.985
0.245 0.730 0.490
0.257 0.270 0.513
0.740 0.730 0.985
0.260 0.270 0.015
0.743 0.730 0.487
0.755 0.270 0.510
0.755 0.270 0.015
0.500 0.500 0.000
0.500 0.500 0.500
0.000 0.500 0.500
0.500 0.000 0.000
0.500 0.000 0.500
0.000 0.000 0.000
0.000 0.000 0.500
0.000 0.500 0.000
```

Calculated values
calculated total energy	-6.3547	eV per atom



No. 6
DFT (PBE) results for crystalline Sc4TeRh at its relaxed geometry.

Geometry as POSCAR:
```
Sc4TeRh
1.0
0.000 4.018 4.018
4.018 0.000 4.018
4.018 4.018 0.000
Sc Te Rh
4 1 1
direct
0.877 0.374 0.374
0.374 0.374 0.877
0.374 0.877 0.374
0.374 0.374 0.374
0.750 0.750 0.750
0.000 0.000 0.000
```

Calculated values
calculated total energy	-5.8422	eV per atom



No. 7
DFT (PBE) results for crystalline MnHg3S4 at its relaxed geometry.

Geometry as POSCAR:
```
MnHg3S4
1.0
13.797 0.003 0.002
13.165 4.129 0.002
13.165 2.017 3.602
S Mn Hg
4 1 3
direct
0.939 0.939 0.939
0.186 0.186 0.186
0.433 0.433 0.433
0.692 0.692 0.692
0.751 0.751 0.751
0.002 0.002 0.002
0.250 0.250 0.250
0.497 0.497 0.497
```

Calculated values
calculated total energy	-3.5456	eV per atom



No. 8
DFT (PBE) results for crystalline NaSeSBr2 at its relaxed geometry.

Geometry as POSCAR:
```
NaSeSBr2
1.0
-3.353 -3.569 2.105
3.431 -0.873 3.984
-2.139 3.556 2.621
Na S Se Br
1 1 1 2
direct
0.500 0.500 0.500
0.000 0.000 0.000
0.000 0.000 0.500
0.000 0.500 0.000
0.500 0.000 0.000
```

Calculated values
calculated total energy	-2.6339	eV per atom